No. 1
Here is a PBEsol-optimized structure of KZrCdS2 from Alexandria via LeMat-Bulk. Energies are from meta-GGA SCAN.

Volume (Å³/cell): 133
Formation energy without anion corrections (eV/atom): 0.82
Total energy (eV per cell): -84.58

The structure in CIF format:
```
data_KZrCdS2
_space_group_name_H-M_alt 'P 4/m m m'
_space_group_IT_number 123
_space_group_name_Hall '-P 4 2'
_cell_length_a 5.172
_cell_length_b 5.172
_cell_length_c 4.973
_cell_angle_alpha 90.00
_cell_angle_beta 90.00
_cell_angle_gamma 90.00
loop_
_atom_site_label
_atom_site_fract_x
_atom_site_fract_y
_atom_site_fract_z
K1 0.000 0.000 0.000
Zr1 0.500 0.500 0.500
Cd1 0.000 0.000 0.500
S1 0.000 0.500 0.000
```

No. 2
Here is a PBEsol-optimized structure of Sr4Al14O25 from Alexandria via LeMat-Bulk. Energies are from meta-GGA SCAN.

Volume (Å³/cell): 1029
Formation energy without anion corrections (eV/atom): -3.38
Total energy (eV per cell): -997.63

The structure in CIF format:
```
data_Sr4Al14O25
_space_group_name_H-M_alt 'P m m a'
_space_group_IT_number 51
_cell_length_a 24.744
_cell_length_b 8.502
_cell_length_c 4.890
_cell_angle_alpha 90.00
_cell_angle_beta 90.00
_cell_angle_gamma 90.00
loop_
_space_group_symop_operation_xyz
'x,y,z'
'-x,-y,-z'
'-x+1/2,-y,z'
'x+1/2,y,-z'
'x+1/2,-y,-z'
'-x+1/2,y,z'
'-x,y,-z'
'x,-y,z'
loop_
_atom_site_label
_atom_site_fract_x
_atom_site_fract_y
_atom_site_fract_z
Sr1 0.120 0.000 0.111
Sr2 0.138 0.500 0.040
Al1 0.000 0.000 0.500
Al2 0.000 0.168 0.000
Al3 0.000 0.500 0.000
Al4 0.066 0.322 0.507
Al5 0.185 0.195 0.625
Al6 0.250 0.296 0.129
O1 0.039 0.000 0.829
O2 0.043 0.159 0.323
O3 0.043 0.337 0.849
O4 0.050 0.500 0.324
O5 0.137 0.325 0.498
O6 0.165 0.000 0.577
O7 0.190 0.228 0.980
O8 0.250 0.231 0.476
O9 0.250 0.500 0.108
```

No. 3
Here is a PBEsol-optimized structure of RuCl3 from Alexandria via LeMat-Bulk. Energies are from meta-GGA SCAN.

Volume (Å³/cell): 73
Formation energy without anion corrections (eV/atom): 0.36
Total energy (eV per cell): -57.34

The structure in CIF format:
```
data_RuCl3
_space_group_name_H-M_alt 'P 4/m m m'
_space_group_IT_number 123
_space_group_name_Hall '-P 4 2'
_cell_length_a 2.975
_cell_length_b 2.975
_cell_length_c 8.294
_cell_angle_alpha 90.00
_cell_angle_beta 90.00
_cell_angle_gamma 90.00
loop_
_atom_site_label
_atom_site_fract_x
_atom_site_fract_y
_atom_site_fract_z
Ru1 0.000 0.000 0.000
Cl1 0.000 0.000 0.500
Cl2 0.500 0.500 0.172
```

No. 4
Here is a PBEsol-optimized structure of CrReNi2 from Alexandria via LeMat-Bulk. Energies are from meta-GGA SCAN.

Volume (Å³/cell): 93
Total energy (eV per cell): -243.56

The structure in CIF format:
```
data_CrReNi2
_space_group_name_H-M_alt 'I 4/m m m'
_space_group_IT_number 139
_space_group_name_Hall '-I 4 2'
_cell_length_a 3.508
_cell_length_b 3.508
_cell_length_c 7.530
_cell_angle_alpha 90.00
_cell_angle_beta 90.00
_cell_angle_gamma 90.00
loop_
_atom_site_label
_atom_site_fract_x
_atom_site_fract_y
_atom_site_fract_z
Cr1 0.000 0.000 0.000
Re1 0.000 0.000 0.500
Ni1 0.000 0.500 0.250
```

No. 5
Here is a PBEsol-optimized structure of Fe4PtSe from Alexandria via LeMat-Bulk. Energies are from meta-GGA SCAN.

Volume (Å³/cell): 308
Formation energy without anion corrections (eV/atom): 0.19
Total energy (eV per cell): -646.67

The structure in CIF format:
```
data_Fe4PtSe
_space_group_name_H-M_alt 'F -4 3 m'
_space_group_IT_number 216
_space_group_name_Hall 'F -4 2 3'
_cell_length_a 6.757
_cell_length_b 6.757
_cell_length_c 6.757
_cell_angle_alpha 90.00
_cell_angle_beta 90.00
_cell_angle_gamma 90.00
loop_
_atom_site_label
_atom_site_fract_x
_atom_site_fract_y
_atom_site_fract_z
Fe1 0.125 0.125 0.125
Pt1 0.000 0.000 0.500
Se1 0.250 0.250 0.750
```

No. 6
Here is a PBEsol-optimized structure of SrRe2Pt from Alexandria via LeMat-Bulk. Energies are from meta-GGA SCAN.

Volume (Å³/cell): 71
Total energy (eV per cell): -231.21

The structure in CIF format:
```
data_SrRe2Pt
_space_group_name_H-M_alt 'P 4/m m m'
_space_group_IT_number 123
_space_group_name_Hall '-P 4 2'
_cell_length_a 3.845
_cell_length_b 3.845
_cell_length_c 4.834
_cell_angle_alpha 90.00
_cell_angle_beta 90.00
_cell_angle_gamma 90.00
loop_
_atom_site_label
_atom_site_fract_x
_atom_site_fract_y
_atom_site_fract_z
Sr1 0.000 0.000 0.000
Re1 0.000 0.500 0.500
Pt1 0.500 0.500 0.000
```

- The highest total energy belongs to which entry?
  RuCl3

Repeat the third record exactly.
Here is a PBEsol-optimized structure of RuCl3 from Alexandria via LeMat-Bulk. Energies are from meta-GGA SCAN.

Volume (Å³/cell): 73
Formation energy without anion corrections (eV/atom): 0.36
Total energy (eV per cell): -57.34

The structure in CIF format:
```
data_RuCl3
_space_group_name_H-M_alt 'P 4/m m m'
_space_group_IT_number 123
_space_group_name_Hall '-P 4 2'
_cell_length_a 2.975
_cell_length_b 2.975
_cell_length_c 8.294
_cell_angle_alpha 90.00
_cell_angle_beta 90.00
_cell_angle_gamma 90.00
loop_
_atom_site_label
_atom_site_fract_x
_atom_site_fract_y
_atom_site_fract_z
Ru1 0.000 0.000 0.000
Cl1 0.000 0.000 0.500
Cl2 0.500 0.500 0.172
```